# 1
The following is a DFT calculation (PBE) of a relaxed YSc2Ru2 crystal.

Cell: 7.7027 7.7027 3.2952 Å, 90.00 90.00 90.00°
Closest atoms and distances in Å follow each position.
Atoms (fractional coordinates):
Y 0.0000 0.0000 0.0000  4 Ru 2.92
Y 0.5000 0.5000 0.0000  4 Ru 2.92
Ru 0.3456 0.8456 0.0000  6 Sc 2.76-2.82, 2 Y 2.92
Ru 0.8456 0.6544 0.0000  6 Sc 2.76-2.82, 2 Y 2.92
Ru 0.6544 0.1544 0.0000  6 Sc 2.76-2.82, 2 Y 2.92
Ru 0.1544 0.3456 0.0000  6 Sc 2.76-2.82, 2 Y 2.92
Sc 0.1420 0.6420 0.5000  6 Ru 2.76-2.82, 1 Sc 3.09
Sc 0.6420 0.8580 0.5000  6 Ru 2.76-2.82, 1 Sc 3.09
Sc 0.8580 0.3580 0.5000  6 Ru 2.76-2.82, 1 Sc 3.09
Sc 0.3580 0.1420 0.5000  6 Ru 2.76-2.82, 1 Sc 3.09

Polymorph energy (0 for the lowest one) (kJ per mole of atoms): 0.0
Crystal system: tetragonal

# 2
The following is a DFT calculation (PBE) of a relaxed La2ZnRh crystal.

Cell: 4.5577 4.0879 5.9457 Å, 69.87 90.00 90.00°
Closest atoms and distances in Å follow each position.
Atoms (fractional coordinates):
Zn 0.5000 0.5558 0.7628  2 Rh 2.72
Rh 0.0000 0.6899 0.4963  2 Zn 2.72, 2 La 3.01
La 0.0000 0.9911 0.8925  3 Rh 3.01-3.37, 4 Zn 3.15
La 0.5000 0.2632 0.3484  3 Zn 3.09-3.27, 4 Rh 3.17

DFT total energy (eV/atom): -5.14
Crystal system: orthorhombic

# 3
The following is a DFT calculation (PBE) of a relaxed In2NiSnCl crystal.

Cell: 5.0742 5.0742 4.8980 Å, 90.00 90.00 90.00°
Closest atoms and distances in Å follow each position.
Atoms (fractional coordinates):
Ni 0.0000 0.0000 0.0000  2 Sn 2.45, 4 In 2.54
Cl 0.5000 0.5000 0.5000  8 In 3.53, 4 Sn 3.59
Sn 0.0000 0.0000 0.5000  2 Ni 2.45
In 0.0000 0.5000 0.0000  2 Ni 2.54
In 0.5000 0.0000 0.0000  2 Ni 2.54

Formation energy without anion corrections (meV per atom): -305
Crystal system: tetragonal

# 4
The following is a DFT calculation (PBE) of a relaxed ZrTc2Rh crystal.

Cell: 4.5073 4.5073 4.5073 Å, 60.00 60.00 60.00°
Closest atoms and distances in Å follow each position.
Atoms (fractional coordinates):
Rh 0.5000 0.5000 0.5000  8 Tc 2.76
Tc 0.2500 0.2500 0.2500  4 Zr 2.76, 4 Rh 2.76
Tc 0.7500 0.7500 0.7500  4 Zr 2.76, 4 Rh 2.76
Zr 0.0000 0.0000 0.0000  8 Tc 2.76

Polymorph energy (0 for the lowest one) (kJ per mole of atoms): 24.6
Crystal system: cubic

# 5
The following is a DFT calculation (PBE) of a relaxed TbNd14Mg crystal.

Cell: 7.2785 7.2785 10.3337 Å, 90.00 90.00 89.98°
Closest atoms and distances in Å follow each position.
Atoms (fractional coordinates):
Tb 0.3749 0.6251 0.0000  12 Nd 3.62-3.64
Nd 0.3749 0.6251 0.5000  12 Nd 3.64-3.67
Nd 0.8750 0.1250 0.5000  12 Nd 3.64-3.67
Nd 0.8747 0.6244 0.0000  8 Nd 3.62, 2 Mg 3.63-3.65, 2 Tb 3.64
Nd 0.8753 0.6253 0.5000  12 Nd 3.64-3.67
Nd 0.3756 0.1253 0.0000  8 Nd 3.62, 2 Mg 3.63-3.65, 2 Tb 3.64
Nd 0.3747 0.1247 0.5000  12 Nd 3.64-3.67
Nd 0.6253 0.8753 0.7532  1 Mg 3.62, 10 Nd 3.62-3.67, 1 Tb 3.63
Nd 0.6253 0.8753 0.2468  1 Mg 3.62, 10 Nd 3.62-3.67, 1 Tb 3.63
Nd 0.1247 0.3747 0.7532  1 Mg 3.62, 10 Nd 3.62-3.67, 1 Tb 3.63
Nd 0.1247 0.3747 0.2468  1 Mg 3.62, 10 Nd 3.62-3.67, 1 Tb 3.63
Nd 0.1246 0.8754 0.7536  1 Mg 3.62, 1 Tb 3.62, 10 Nd 3.62-3.67
Nd 0.1246 0.8754 0.2464  1 Mg 3.62, 1 Tb 3.62, 10 Nd 3.62-3.67
Nd 0.6255 0.3745 0.7528  1 Mg 3.62, 10 Nd 3.62-3.67, 1 Tb 3.63
Nd 0.6255 0.3745 0.2472  1 Mg 3.62, 10 Nd 3.62-3.67, 1 Tb 3.63
Mg 0.8747 0.1253 0.0000  12 Nd 3.62-3.65

DFT total energy (eV/atom): -4.55
Crystal system: orthorhombic

# 6
The following is a DFT calculation (PBE) of a relaxed CaMn2Te crystal.

Cell: 5.5772 5.5772 5.5772 Å, 134.67 134.67 66.04°
Closest atoms and distances in Å follow each position.
Atoms (fractional coordinates):
Ca 0.7500 0.2500 0.5000  8 Mn 3.04-3.18, 4 Te 3.18
Te 0.5000 0.5000 0.0000  8 Mn 3.04-3.18, 4 Ca 3.18
Mn 0.0000 0.0000 0.0000  4 Te 3.04, 4 Mn 3.18, 4 Ca 3.18
Mn 0.2500 0.7500 0.5000  4 Ca 3.04, 4 Mn 3.18, 4 Te 3.18

Formation energy without anion corrections (meV per atom): 206
Crystal system: tetragonal